[1]
# Nd3Ga2BRu3

A relaxed Nd3Ga2BRu3 crystal (GGA-PBE, Alexandria via LeMat-Bulk).

Lattice parameters (Å, degrees): 7.444 7.444 3.599 90.00 90.00 120.00
Sites, in units of the cell vectors:
1 Nd 0.000 0.363 0.000
2 Nd 0.363 0.000 0.000
3 Nd 0.637 0.637 0.000
4 Ga 0.333 0.667 0.500
5 Ga 0.667 0.333 0.500
6 B 0.000 0.000 0.000
7 Ru 0.000 0.782 0.500
8 Ru 0.218 0.218 0.500
9 Ru 0.782 0.000 0.500

Output
E: -6.366 eV per atom
M_tot: 0.00 μB per cell
Formation energy from the elements: -0.270 eV/atom
V: 19.19 Å³ per atom



[2]
# YZr2Ga2

A relaxed YZr2Ga2 crystal (GGA-PBE, Alexandria via LeMat-Bulk).

Lattice parameters (Å, degrees): 6.399 6.399 6.399 136.62 136.62 63.02
Sites, in units of the cell vectors:
1 Y 0.000 0.000 0.000
2 Zr 0.362 0.362 0.000
3 Zr 0.638 0.638 0.000
4 Ga 0.250 0.750 0.500
5 Ga 0.750 0.250 0.500

Output
E: -5.956 eV per atom
M_tot: 0.00 μB per cell
Formation energy from the elements: -0.033 eV/atom
V: 24.41 Å³ per atom



[3]
# Ac2SmTmO6

A relaxed Ac2SmTmO6 crystal (GGA-PBE, Alexandria via LeMat-Bulk).

Lattice parameters (Å, degrees): 6.053 6.235 10.594 90.00 124.65 90.00
Sites, in units of the cell vectors:
1 Ac 0.235 0.048 0.251
2 Ac 0.235 0.452 0.751
3 Ac 0.765 0.548 0.249
4 Ac 0.765 0.952 0.749
5 Sm 0.500 0.000 0.000
6 Sm 0.500 0.500 0.500
7 Tm 0.000 0.000 0.500
8 Tm 0.000 0.500 0.000
9 O 0.126 0.204 0.934
10 O 0.126 0.296 0.434
11 O 0.233 0.694 0.937
12 O 0.233 0.806 0.437
13 O 0.364 0.053 0.744
14 O 0.364 0.447 0.244
15 O 0.636 0.553 0.756
16 O 0.636 0.947 0.256
17 O 0.767 0.194 0.563
18 O 0.767 0.306 0.063
19 O 0.874 0.704 0.566
20 O 0.874 0.796 0.066

Output
E: -8.143 eV per atom
M_tot: 0.00 μB per cell
V: 16.45 Å³ per atom
Uncorrected formation energy: -3.428 eV per atom



[4]
# Ce5Sb5Ru

A relaxed Ce5Sb5Ru crystal (GGA-PBE, Alexandria via LeMat-Bulk).

Lattice parameters (Å, degrees): 7.620 7.620 8.619 107.78 107.78 47.99
Sites, in units of the cell vectors:
1 Ce 0.000 0.000 0.000
2 Ce 0.348 0.348 0.693
3 Ce 0.351 0.351 0.149
4 Ce 0.649 0.649 0.851
5 Ce 0.652 0.652 0.307
6 Sb 0.160 0.160 0.817
7 Sb 0.186 0.186 0.334
8 Sb 0.500 0.500 0.500
9 Sb 0.814 0.814 0.666
10 Sb 0.840 0.840 0.183
11 Ru 0.500 0.500 0.000

Output
E: -6.025 eV per atom
M_tot: 1.35 μB per cell
V: 31.86 Å³ per atom
Uncorrected formation energy: -0.611 eV per atom



[5]
# PuScTlO6

A relaxed PuScTlO6 crystal (GGA-PBE, Alexandria via LeMat-Bulk).

Lattice parameters (Å, degrees): 5.553 5.553 9.547 90.00 90.00 120.00
Sites, in units of the cell vectors:
1 Pu 0.333 0.667 0.250
2 Pu 0.667 0.333 0.750
3 Sc 0.333 0.667 0.750
4 Sc 0.667 0.333 0.250
5 Tl 0.000 0.000 0.000
6 Tl 0.000 0.000 0.500
7 O 0.009 0.360 0.137
8 O 0.009 0.649 0.363
9 O 0.351 0.360 0.363
10 O 0.351 0.991 0.137
11 O 0.360 0.009 0.637
12 O 0.360 0.351 0.863
13 O 0.640 0.649 0.137
14 O 0.640 0.991 0.363
15 O 0.649 0.009 0.863
16 O 0.649 0.640 0.637
17 O 0.991 0.351 0.637
18 O 0.991 0.640 0.863

Output
E: -8.082 eV per atom
M_tot: 3.94 μB per cell
V: 14.16 Å³ per atom
Uncorrected formation energy: -2.218 eV per atom



[6]
# LaCdPt

A relaxed LaCdPt crystal (GGA-PBE, Alexandria via LeMat-Bulk).

Lattice parameters (Å, degrees): 13.569 4.119 7.875 90.00 90.00 90.00
Sites, in units of the cell vectors:
1 La 0.047 0.000 0.230
2 La 0.250 0.000 0.838
3 La 0.453 0.000 0.230
4 La 0.547 0.000 0.770
5 La 0.750 0.000 0.162
6 La 0.953 0.000 0.770
7 Cd 0.119 0.500 0.560
8 Cd 0.250 0.500 0.194
9 Cd 0.381 0.500 0.560
10 Cd 0.619 0.500 0.440
11 Cd 0.750 0.500 0.806
12 Cd 0.881 0.500 0.440
13 Pt 0.097 0.500 0.931
14 Pt 0.250 0.000 0.439
15 Pt 0.403 0.500 0.931
16 Pt 0.597 0.500 0.069
17 Pt 0.750 0.000 0.561
18 Pt 0.903 0.500 0.069

Output
E: -4.812 eV per atom
M_tot: 0.00 μB per cell
Formation energy from the elements: -0.851 eV/atom
V: 24.46 Å³ per atom



[7]
# Pr4Nd5Tm2

A relaxed Pr4Nd5Tm2 crystal (GGA-PBE, Alexandria via LeMat-Bulk).

Lattice parameters (Å, degrees): 12.717 12.717 12.717 163.98 135.72 47.38
Sites, in units of the cell vectors:
1 Pr 0.096 0.096 0.000
2 Pr 0.205 0.500 0.705
3 Pr 0.795 0.500 0.295
4 Pr 0.904 0.904 0.000
5 Nd 0.139 0.347 0.792
6 Nd 0.445 0.653 0.792
7 Nd 0.500 0.000 0.500
8 Nd 0.555 0.347 0.208
9 Nd 0.861 0.653 0.208
10 Tm 0.230 0.230 0.000
11 Tm 0.770 0.770 0.000

Output
E: -4.476 eV per atom
M_tot: 0.00 μB per cell
Formation energy from the elements: 0.242 eV/atom
V: 35.97 Å³ per atom



[8]
# MgSi

A relaxed MgSi crystal (GGA-PBE, Alexandria via LeMat-Bulk).

Lattice parameters (Å, degrees): 6.304 6.304 5.878 90.00 90.00 139.71
Sites, in units of the cell vectors:
1 Mg 0.060 0.940 0.750
2 Mg 0.221 0.779 0.250
3 Mg 0.779 0.221 0.750
4 Mg 0.940 0.060 0.250
5 Si 0.401 0.599 0.546
6 Si 0.401 0.599 0.954
7 Si 0.599 0.401 0.046
8 Si 0.599 0.401 0.454

Output
E: -3.533 eV per atom
M_tot: 0.00 μB per cell
V: 18.88 Å³ per atom
Uncorrected formation energy: -0.024 eV per atom



[9]
# Li2DyCd2In2

A relaxed Li2DyCd2In2 crystal (GGA-PBE, Alexandria via LeMat-Bulk).

Lattice parameters (Å, degrees): 4.940 4.940 7.710 104.93 104.93 58.61
Sites, in units of the cell vectors:
1 Li 0.134 0.134 0.433
2 Li 0.866 0.866 0.567
3 Dy 0.000 0.000 0.000
4 Cd 0.279 0.279 0.811
5 Cd 0.721 0.721 0.189
6 In 0.415 0.415 0.278
7 In 0.585 0.585 0.722

Output
E: -2.539 eV per atom
M_tot: 0.00 μB per cell
Formation energy from the elements: -0.290 eV/atom
V: 21.92 Å³ per atom



[10]
# Cs2SmSb2O6

A relaxed Cs2SmSb2O6 crystal (GGA-PBE, Alexandria via LeMat-Bulk).

Lattice parameters (Å, degrees): 6.452 6.452 7.895 106.62 106.62 59.98
Sites, in units of the cell vectors:
1 Cs 0.216 0.216 0.222
2 Cs 0.784 0.784 0.778
3 Sm 0.500 0.500 0.000
4 Sb 0.104 0.104 0.720
5 Sb 0.896 0.896 0.280
6 O 0.178 0.707 0.162
7 O 0.288 0.288 0.810
8 O 0.293 0.822 0.838
9 O 0.707 0.178 0.162
10 O 0.712 0.712 0.190
11 O 0.822 0.293 0.838

Output
E: -5.876 eV per atom
M_tot: 0.00 μB per cell
V: 24.42 Å³ per atom
Uncorrected formation energy: -1.838 eV per atom



[11]
# CrCoSi2

A relaxed CrCoSi2 crystal (GGA-PBE, Alexandria via LeMat-Bulk).

Lattice parameters (Å, degrees): 4.050 4.050 4.050 60.00 60.00 60.00
Sites, in units of the cell vectors:
1 Cr 0.000 0.000 0.000
2 Co 0.250 0.250 0.250
3 Si 0.500 0.500 0.500
4 Si 0.750 0.750 0.750

Output
E: -6.759 eV per atom
M_tot: 0.56 μB per cell
V: 11.75 Å³ per atom
Uncorrected formation energy: 0.135 eV per atom



[12]
# Tm5Cd2Ir

A relaxed Tm5Cd2Ir crystal (GGA-PBE, Alexandria via LeMat-Bulk).

Lattice parameters (Å, degrees): 6.583 6.583 12.748 90.00 90.00 130.56
Sites, in units of the cell vectors:
1 Tm 0.080 0.920 0.603
2 Tm 0.080 0.920 0.897
3 Tm 0.374 0.626 0.562
4 Tm 0.374 0.626 0.938
5 Tm 0.409 0.591 0.250
6 Tm 0.591 0.409 0.750
7 Tm 0.626 0.374 0.062
8 Tm 0.626 0.374 0.438
9 Tm 0.920 0.080 0.103
10 Tm 0.920 0.080 0.397
11 Cd 0.185 0.815 0.137
12 Cd 0.185 0.815 0.363
13 Cd 0.815 0.185 0.637
14 Cd 0.815 0.185 0.863
15 Ir 0.241 0.759 0.750
16 Ir 0.759 0.241 0.250

Output
E: -4.335 eV per atom
M_tot: 0.52 μB per cell
Formation energy from the elements: -0.204 eV/atom
V: 26.23 Å³ per atom